No. 1
A crystal of Ca2BeSe relaxed with PBEsol, computed with SCAN.

a = 4.583 Å, b = 5.308 Å, c = 4.583 Å
α = 64.43°, β = 90.00°, γ = 115.57°
Atoms (fractional coordinates):
Be 0.000 0.000 0.000
Ca 0.250 0.500 0.250
Ca 0.750 0.500 0.750
Se 0.500 0.000 0.500

Values from the calculation:
space-group type	No. 139
M_tot	0.00	μB per atom
energy above the lowest structure with this stoichiometry	198	meV per atom

=====

No. 2
A crystal of TeRh2N relaxed with PBEsol, computed with SCAN.

a = 4.264 Å, b = 4.264 Å, c = 4.264 Å
α = 60.00°, β = 60.00°, γ = 60.00°
Atoms (fractional coordinates):
Te 0.500 0.500 0.500
Rh 0.250 0.250 0.250
Rh 0.750 0.750 0.750
N 0.000 0.000 0.000

Values from the calculation:
space-group type	No. 225
M_tot	0.00	μB per atom
DFT total energy	-111.09	eV per formula unit

=====

No. 3
A crystal of K2MgH12S2O14 relaxed with PBEsol, computed with SCAN.

a = 6.131 Å, b = 8.942 Å, c = 12.064 Å
α = 90.00°, β = 90.00°, γ = 103.76°
Atoms (fractional coordinates):
K 0.666 0.364 0.161
K 0.334 0.136 0.661
K 0.334 0.636 0.839
K 0.666 0.864 0.339
Mg 0.000 0.000 0.000
Mg 0.000 0.500 0.500
H 0.658 0.611 0.560
H 0.342 0.889 0.060
H 0.342 0.389 0.440
H 0.658 0.111 0.940
H 0.337 0.524 0.354
H 0.663 0.976 0.854
H 0.663 0.476 0.646
H 0.337 0.024 0.146
H 0.084 0.773 0.398
H 0.916 0.727 0.898
H 0.010 0.644 0.305
H 0.990 0.856 0.805
H 0.990 0.356 0.695
H 0.010 0.144 0.195
H 0.325 0.724 0.585
H 0.675 0.776 0.085
H 0.675 0.276 0.415
H 0.325 0.224 0.915
H 0.087 0.754 0.624
H 0.913 0.746 0.124
H 0.913 0.246 0.376
H 0.087 0.254 0.876
H 0.916 0.227 0.602
H 0.084 0.273 0.102
S 0.281 0.588 0.135
S 0.719 0.412 0.865
S 0.281 0.088 0.365
S 0.719 0.912 0.635
O 0.256 0.939 0.423
O 0.256 0.439 0.077
O 0.169 0.172 0.890
O 0.831 0.328 0.390
O 0.831 0.828 0.110
O 0.169 0.672 0.610
O 0.024 0.828 0.882
O 0.744 0.561 0.923
O 0.976 0.172 0.118
O 0.024 0.328 0.618
O 0.706 0.013 0.930
O 0.294 0.487 0.430
O 0.294 0.987 0.070
O 0.706 0.513 0.570
O 0.943 0.891 0.670
O 0.057 0.609 0.170
O 0.057 0.109 0.330
O 0.943 0.391 0.830
O 0.570 0.906 0.733
O 0.430 0.594 0.233
O 0.430 0.094 0.267
O 0.570 0.406 0.767
O 0.976 0.672 0.382
O 0.391 0.713 0.057
O 0.391 0.213 0.443
O 0.609 0.287 0.943
O 0.744 0.061 0.577
O 0.609 0.787 0.557

Values from the calculation:
space-group type	No. 14
M_tot	0.01	μB per atom
DFT total energy	-217.22	eV per formula unit

=====

No. 4
A crystal of InPt3W relaxed with PBEsol, computed with SCAN.

a = 4.824 Å, b = 4.824 Å, c = 4.824 Å
α = 90.00°, β = 90.00°, γ = 90.00°
Atoms (fractional coordinates):
W 0.000 0.000 0.000
Pt 0.000 0.500 0.000
Pt 0.000 0.000 0.500
Pt 0.500 0.000 0.000
In 0.500 0.500 0.500

Values from the calculation:
space-group type	No. 221
M_tot	0.00	μB per atom
DFT total energy	-309.00	eV per formula unit

=====

No. 5
A crystal of Ca2CdW relaxed with PBEsol, computed with SCAN.

a = 2.901 Å, b = 5.212 Å, c = 5.918 Å
α = 90.00°, β = 90.07°, γ = 90.00°
Atoms (fractional coordinates):
Ca 0.876 0.000 0.955
Ca 0.874 0.500 0.285
W 0.375 0.500 0.768
Cd 0.375 0.000 0.492

Values from the calculation:
space-group type	No. 25
M_tot	0.00	μB per atom
DFT total energy	-116.75	eV per formula unit

=====

No. 6
A crystal of FeCu6GeS8 relaxed with PBEsol, computed with SCAN.

a = 7.290 Å, b = 7.290 Å, c = 7.290 Å
α = 60.00°, β = 60.00°, γ = 60.00°
Atoms (fractional coordinates):
Fe 0.000 0.000 0.000
Cu 0.005 0.495 0.005
Cu 0.495 0.005 0.495
Cu 0.495 0.005 0.005
Cu 0.005 0.495 0.495
Cu 0.005 0.005 0.495
Cu 0.495 0.495 0.005
Ge 0.500 0.500 0.500
S 0.637 0.121 0.121
S 0.122 0.626 0.626
S 0.121 0.121 0.637
S 0.626 0.626 0.122
S 0.121 0.637 0.121
S 0.626 0.122 0.626
S 0.121 0.121 0.121
S 0.626 0.626 0.626

Values from the calculation:
space-group type	No. 216
M_tot	0.15	μB per atom
DFT total energy	-211.77	eV per formula unit

=====

No. 7
A crystal of BaSr relaxed with PBEsol, computed with SCAN.

a = 4.298 Å, b = 4.298 Å, c = 12.022 Å
α = 90.00°, β = 90.00°, γ = 90.00°
Atoms (fractional coordinates):
Sr 0.500 0.000 0.618
Sr 0.000 0.500 0.382
Ba 0.500 0.000 0.132
Ba 0.000 0.500 0.868

Values from the calculation:
space-group type	No. 129
M_tot	0.01	μB per atom
energy above the lowest structure with this stoichiometry	8	meV per atom

=====

No. 8
A crystal of LaAlIrBr2 relaxed with PBEsol, computed with SCAN.

a = 5.138 Å, b = 5.778 Å, c = 5.778 Å
α = 90.00°, β = 90.00°, γ = 90.00°
Atoms (fractional coordinates):
Ir 0.500 0.000 0.000
Al 0.500 0.500 0.500
Br 0.000 0.000 0.500
Br 0.000 0.500 0.000
La 0.000 0.000 0.000

Values from the calculation:
space-group type	No. 123
M_tot	0.16	μB per atom
DFT total energy	-161.16	eV per formula unit

=====

No. 9
A crystal of LiMgAu2 relaxed with PBEsol, computed with SCAN.

a = 3.952 Å, b = 3.952 Å, c = 4.978 Å
α = 113.39°, β = 113.39°, γ = 90.00°
Atoms (fractional coordinates):
Mg 0.250 0.750 0.500
Au 0.500 0.500 0.000
Au 0.750 0.250 0.500
Li 0.000 0.000 0.000

Values from the calculation:
space-group type	No. 119
M_tot	0.00	μB per atom
DFT total energy	-148.39	eV per formula unit

=====

No. 10
A crystal of ThTe3 relaxed with PBEsol, computed with SCAN.

a = 4.361 Å, b = 6.118 Å, c = 10.365 Å
α = 97.74°, β = 90.00°, γ = 90.00°
Atoms (fractional coordinates):
Te 0.250 0.563 0.329
Te 0.750 0.437 0.671
Te 0.250 0.235 0.934
Te 0.750 0.765 0.066
Te 0.250 0.109 0.345
Te 0.750 0.891 0.655
Th 0.250 0.715 0.840
Th 0.750 0.285 0.160

Values from the calculation:
space-group type	No. 11
M_tot	0.00	μB per atom
DFT total energy	-211.82	eV per formula unit

=====

- Number 1 is which compound?
  Ca2BeSe